Record 1
Density functional theory data (PBE) for an optimized crystal structure of CaCrPb2.

Properties
- uncorrected energy (eV/cell) = -18.149
- space-group type = P4mm, No. 99

a = 3.954 Å, b = 3.954 Å, c = 7.085 Å
α = 90.00°, β = 90.00°, γ = 90.00°
Element x y z (fractional)
Ca1 0.000 0.000 0.000
Cr1 0.500 0.500 0.286
Pb1 0.000 0.000 0.456
Pb2 0.500 0.500 0.732



Record 2
Density functional theory data (PBE) for an optimized crystal structure of CaCr2Pb.

Properties
- uncorrected energy (eV/cell) = -68.004
- space-group type = R3m, No. 160

a = 3.359 Å, b = 3.359 Å, c = 28.203 Å
α = 90.00°, β = 90.00°, γ = 120.00°
Element x y z (fractional)
Ca1 0.000 0.000 0.000
Ca2 0.333 0.667 0.667
Ca3 0.667 0.333 0.333
Cr1 0.000 0.000 0.479
Cr2 0.000 0.000 0.758
Cr3 0.333 0.667 0.146
Cr4 0.333 0.667 0.424
Cr5 0.667 0.333 0.091
Cr6 0.667 0.333 0.812
Pb1 0.000 0.000 0.231
Pb2 0.333 0.667 0.897
Pb3 0.667 0.333 0.564



Record 3
Density functional theory data (PBE) for an optimized crystal structure of CaCrPb3.

Properties
- uncorrected energy (eV/cell) = -21.903
- space-group type = Pm-3m, No. 221
- excess energy over the best structure of this formula in the dataset (eV per atom) = 0.000

a = 5.300 Å, b = 5.300 Å, c = 5.300 Å
α = 90.00°, β = 90.00°, γ = 90.00°
Element x y z (fractional)
Ca1 0.000 0.000 0.000
Cr1 0.500 0.500 0.500
Pb1 0.000 0.500 0.500
Pb2 0.500 0.000 0.500
Pb3 0.500 0.500 0.000



Record 4
Density functional theory data (PBE) for an optimized crystal structure of CaCrPb2.

Properties
- uncorrected energy (eV/cell) = -71.603
- space-group type = I-42d, No. 122

a = 4.945 Å, b = 4.945 Å, c = 19.979 Å
α = 90.00°, β = 90.00°, γ = 90.00°
Element x y z (fractional)
Ca1 0.000 0.000 0.000
Ca2 0.000 0.500 0.250
Ca3 0.500 0.000 0.750
Ca4 0.500 0.500 0.500
Cr1 0.000 0.000 0.500
Cr2 0.000 0.500 0.750
Cr3 0.500 0.000 0.250
Cr4 0.500 0.500 0.000
Pb1 0.198 0.250 0.625
Pb2 0.250 0.698 0.875
Pb3 0.250 0.802 0.375
Pb4 0.302 0.250 0.125
Pb5 0.698 0.750 0.125
Pb6 0.750 0.198 0.375
Pb7 0.750 0.302 0.875
Pb8 0.802 0.750 0.625



Record 5
Density functional theory data (PBE) for an optimized crystal structure of CaCrPb2.

Properties
- uncorrected energy (eV/cell) = -18.807
- space-group type = P4/mmm, No. 123

a = 4.813 Å, b = 4.813 Å, c = 4.499 Å
α = 90.00°, β = 90.00°, γ = 90.00°
Element x y z (fractional)
Ca1 0.000 0.000 0.000
Cr1 0.500 0.500 0.000
Pb1 0.000 0.500 0.500
Pb2 0.500 0.000 0.500



Record 6
Density functional theory data (PBE) for an optimized crystal structure of CaCr2Pb.

Properties
- uncorrected energy (eV/cell) = -44.947
- space-group type = C2/m, No. 12

a = 9.998 Å, b = 3.436 Å, c = 5.592 Å
α = 90.00°, β = 99.09°, γ = 90.00°
Element x y z (fractional)
Ca1 0.000 0.000 0.000
Ca2 0.500 0.500 0.000
Cr1 0.244 0.000 0.730
Cr2 0.256 0.500 0.270
Cr3 0.744 0.500 0.730
Cr4 0.756 0.000 0.270
Pb1 0.000 0.500 0.500
Pb2 0.500 0.000 0.500



Record 7
Density functional theory data (PBE) for an optimized crystal structure of CaCrPb.

Properties
- uncorrected energy (eV/cell) = -14.074
- space-group type = P3m1, No. 156

a = 3.576 Å, b = 3.576 Å, c = 7.413 Å
α = 90.00°, β = 90.00°, γ = 120.00°
Element x y z (fractional)
Ca1 0.000 0.000 0.000
Cr1 0.333 0.667 0.350
Pb1 0.667 0.333 0.637



Record 8
Density functional theory data (PBE) for an optimized crystal structure of CaCr2Pb.

Properties
- uncorrected energy (eV/cell) = -65.170
- space-group type = R-3m, No. 166

a = 3.396 Å, b = 3.396 Å, c = 29.955 Å
α = 90.00°, β = 90.00°, γ = 120.00°
Element x y z (fractional)
Ca1 0.000 0.000 0.000
Ca2 0.333 0.667 0.667
Ca3 0.667 0.333 0.333
Cr1 0.000 0.000 0.245
Cr2 0.000 0.000 0.755
Cr3 0.333 0.667 0.421
Cr4 0.333 0.667 0.912
Cr5 0.667 0.333 0.088
Cr6 0.667 0.333 0.579
Pb1 0.000 0.000 0.500
Pb2 0.333 0.667 0.167
Pb3 0.667 0.333 0.833



Record 9
Density functional theory data (PBE) for an optimized crystal structure of CaCr2Pb.

Properties
- uncorrected energy (eV/cell) = -22.542
- space-group type = P4/mmm, No. 123

a = 3.795 Å, b = 3.795 Å, c = 6.676 Å
α = 90.00°, β = 90.00°, γ = 90.00°
Element x y z (fractional)
Ca1 0.000 0.000 0.000
Cr1 0.500 0.500 0.277
Cr2 0.500 0.500 0.723
Pb1 0.000 0.000 0.500



Record 10
Density functional theory data (PBE) for an optimized crystal structure of CaCr2Pb.

Properties
- uncorrected energy (eV/cell) = -71.379
- space-group type = R3m, No. 160

a = 4.596 Å, b = 4.596 Å, c = 15.502 Å
α = 90.00°, β = 90.00°, γ = 120.00°
Element x y z (fractional)
Ca1 0.000 0.000 0.000
Ca2 0.333 0.667 0.667
Ca3 0.667 0.333 0.333
Cr1 0.000 0.000 0.470
Cr2 0.000 0.000 0.792
Cr3 0.333 0.667 0.137
Cr4 0.333 0.667 0.459
Cr5 0.667 0.333 0.126
Cr6 0.667 0.333 0.803
Pb1 0.000 0.000 0.209
Pb2 0.333 0.667 0.876
Pb3 0.667 0.333 0.542



Record 11
Density functional theory data (PBE) for an optimized crystal structure of CaCrPb2.

Properties
- uncorrected energy (eV/cell) = -55.408
- space-group type = R-3m, No. 166

a = 3.714 Å, b = 3.714 Å, c = 27.091 Å
α = 90.00°, β = 90.00°, γ = 120.00°
Element x y z (fractional)
Ca1 0.000 0.000 0.000
Ca2 0.333 0.667 0.667
Ca3 0.667 0.333 0.333
Cr1 0.000 0.000 0.500
Cr2 0.333 0.667 0.167
Cr3 0.667 0.333 0.833
Pb1 0.000 0.000 0.240
Pb2 0.000 0.000 0.760
Pb3 0.333 0.667 0.427
Pb4 0.333 0.667 0.907
Pb5 0.667 0.333 0.093
Pb6 0.667 0.333 0.573



Record 12
Density functional theory data (PBE) for an optimized crystal structure of CaCr2Pb.

Properties
- uncorrected energy (eV/cell) = -47.225
- space-group type = Imm2, No. 44

a = 4.951 Å, b = 4.977 Å, c = 7.018 Å
α = 90.00°, β = 90.00°, γ = 90.00°
Element x y z (fractional)
Ca1 0.000 0.000 0.000
Ca2 0.500 0.500 0.500
Cr1 0.000 0.000 0.499
Cr2 0.000 0.500 0.752
Cr3 0.500 0.000 0.252
Cr4 0.500 0.500 0.999
Pb1 0.000 0.500 0.249
Pb2 0.500 0.000 0.749



Record 13
Density functional theory data (PBE) for an optimized crystal structure of CaCrPb2.

Properties
- uncorrected energy (eV/cell) = -72.686
- space-group type = F-43m, No. 216

a = 7.639 Å, b = 7.639 Å, c = 7.639 Å
α = 90.00°, β = 90.00°, γ = 90.00°
Element x y z (fractional)
Ca1 0.000 0.000 0.000
Ca2 0.000 0.500 0.500
Ca3 0.500 0.000 0.500
Ca4 0.500 0.500 0.000
Cr1 0.250 0.250 0.750
Cr2 0.250 0.750 0.250
Cr3 0.750 0.250 0.250
Cr4 0.750 0.750 0.750
Pb1 0.000 0.000 0.500
Pb2 0.000 0.500 0.000
Pb3 0.250 0.250 0.250
Pb4 0.250 0.750 0.750
Pb5 0.500 0.000 0.000
Pb6 0.500 0.500 0.500
Pb7 0.750 0.250 0.750
Pb8 0.750 0.750 0.250



Record 14
Density functional theory data (PBE) for an optimized crystal structure of CaCrPb.

Properties
- uncorrected energy (eV/cell) = -58.540
- space-group type = F-43m, No. 216

a = 6.931 Å, b = 6.931 Å, c = 6.931 Å
α = 90.00°, β = 90.00°, γ = 90.00°
Element x y z (fractional)
Ca1 0.000 0.000 0.000
Ca2 0.000 0.500 0.500
Ca3 0.500 0.000 0.500
Ca4 0.500 0.500 0.000
Cr1 0.250 0.250 0.250
Cr2 0.250 0.750 0.750
Cr3 0.750 0.250 0.750
Cr4 0.750 0.750 0.250
Pb1 0.000 0.000 0.500
Pb2 0.000 0.500 0.000
Pb3 0.500 0.000 0.000
Pb4 0.500 0.500 0.500



Record 15
Density functional theory data (PBE) for an optimized crystal structure of CaCrPb2.

Properties
- uncorrected energy (eV/cell) = -37.039
- space-group type = I-4m2, No. 119

a = 4.618 Å, b = 4.618 Å, c = 10.067 Å
α = 90.00°, β = 90.00°, γ = 90.00°
Element x y z (fractional)
Ca1 0.000 0.000 0.000
Ca2 0.500 0.500 0.500
Cr1 0.000 0.500 0.750
Cr2 0.500 0.000 0.250
Pb1 0.000 0.000 0.500
Pb2 0.000 0.500 0.250
Pb3 0.500 0.000 0.750
Pb4 0.500 0.500 0.000



Record 16
Density functional theory data (PBE) for an optimized crystal structure of CaCr2Pb.

Properties
- uncorrected energy (eV/cell) = -23.897
- space-group type = P4mm, No. 99

a = 3.369 Å, b = 3.369 Å, c = 7.624 Å
α = 90.00°, β = 90.00°, γ = 90.00°
Element x y z (fractional)
Ca1 0.000 0.000 0.000
Cr1 0.000 0.000 0.417
Cr2 0.500 0.500 0.297
Pb1 0.500 0.500 0.679



Record 17
Density functional theory data (PBE) for an optimized crystal structure of Ca4CrPb.

Properties
- uncorrected energy (eV/cell) = -18.312
- space-group type = F-43m, No. 216

a = 6.675 Å, b = 6.675 Å, c = 6.675 Å
α = 60.00°, β = 60.00°, γ = 60.00°
Element x y z (fractional)
Ca1 0.125 0.125 0.125
Ca2 0.125 0.125 0.625
Ca3 0.125 0.625 0.125
Ca4 0.625 0.125 0.125
Cr1 0.750 0.750 0.750
Pb1 0.500 0.500 0.500



Record 18
Density functional theory data (PBE) for an optimized crystal structure of CaCrPb.

Properties
- uncorrected energy (eV/cell) = -53.853
- space-group type = F-43m, No. 216

a = 7.161 Å, b = 7.161 Å, c = 7.161 Å
α = 90.00°, β = 90.00°, γ = 90.00°
Element x y z (fractional)
Ca1 0.000 0.000 0.000
Ca2 0.000 0.500 0.500
Ca3 0.500 0.000 0.500
Ca4 0.500 0.500 0.000
Cr1 0.250 0.250 0.750
Cr2 0.250 0.750 0.250
Cr3 0.750 0.250 0.250
Cr4 0.750 0.750 0.750
Pb1 0.250 0.250 0.250
Pb2 0.250 0.750 0.750
Pb3 0.750 0.250 0.750
Pb4 0.750 0.750 0.250



Record 19
Density functional theory data (PBE) for an optimized crystal structure of CaCrPb.

Properties
- uncorrected energy (eV/cell) = -15.064
- space-group type = P3m1, No. 156

a = 4.976 Å, b = 4.976 Å, c = 3.684 Å
α = 90.00°, β = 90.00°, γ = 120.00°
Element x y z (fractional)
Ca1 0.000 0.000 0.000
Cr1 0.667 0.333 0.499
Pb1 0.333 0.667 0.501



Record 20
Density functional theory data (PBE) for an optimized crystal structure of CaCrPb2.

Properties
- uncorrected energy (eV/cell) = -37.750
- space-group type = C2/m, No. 12

a = 9.210 Å, b = 4.480 Å, c = 5.616 Å
α = 90.00°, β = 112.12°, γ = 90.00°
Element x y z (fractional)
Ca1 0.000 0.000 0.000
Ca2 0.500 0.500 0.000
Cr1 0.000 0.500 0.500
Cr2 0.500 0.000 0.500
Pb1 0.237 0.000 0.700
Pb2 0.263 0.500 0.300
Pb3 0.737 0.500 0.700
Pb4 0.763 0.000 0.300



Record 21
Density functional theory data (PBE) for an optimized crystal structure of CaCrPb.

Properties
- uncorrected energy (eV/cell) = -29.313
- space-group type = I4mm, No. 107

a = 3.781 Å, b = 3.781 Å, c = 11.049 Å
α = 90.00°, β = 90.00°, γ = 90.00°
Element x y z (fractional)
Ca1 0.000 0.000 0.000
Ca2 0.500 0.500 0.500
Cr1 0.000 0.000 0.692
Cr2 0.500 0.500 0.192
Pb1 0.000 0.000 0.310
Pb2 0.500 0.500 0.810



Record 22
Density functional theory data (PBE) for an optimized crystal structure of RbCaCr2Pb.

Properties
- uncorrected energy (eV/cell) = -17.392
- space-group type = P4/mmm, No. 123

a = 5.533 Å, b = 5.533 Å, c = 6.005 Å
α = 90.00°, β = 90.00°, γ = 90.00°
Element x y z (fractional)
Rb1 0.000 0.000 0.000
Ca1 0.000 0.000 0.500
Cr1 0.000 0.500 0.000
Cr2 0.500 0.000 0.000
Pb1 0.500 0.500 0.500



Record 23
Density functional theory data (PBE) for an optimized crystal structure of CaCrRe2Pb.

Properties
- uncorrected energy (eV/cell) = -26.161
- space-group type = P4/mmm, No. 123

a = 5.022 Å, b = 5.022 Å, c = 5.341 Å
α = 90.00°, β = 90.00°, γ = 90.00°
Element x y z (fractional)
Ca1 0.000 0.000 0.000
Cr1 0.500 0.500 0.000
Re1 0.000 0.500 0.500
Re2 0.500 0.000 0.500
Pb1 0.000 0.000 0.500



Record 24
Density functional theory data (PBE) for an optimized crystal structure of Ca2CrPbSe.

Properties
- uncorrected energy (eV/cell) = -23.024
- space-group type = P4/mmm, No. 123
- uncorrected formation energy (eV per atom) = -0.44

a = 5.519 Å, b = 5.519 Å, c = 4.867 Å
α = 90.00°, β = 90.00°, γ = 90.00°
Element x y z (fractional)
Ca1 0.000 0.500 0.000
Ca2 0.500 0.000 0.000
Cr1 0.000 0.000 0.500
Pb1 0.500 0.500 0.500
Se1 0.000 0.000 0.000



Record 25
Density functional theory data (PBE) for an optimized crystal structure of CaCrSnPb2.

Properties
- uncorrected energy (eV/cell) = -22.441
- space-group type = P4/mmm, No. 123

a = 5.278 Å, b = 5.278 Å, c = 5.187 Å
α = 90.00°, β = 90.00°, γ = 90.00°
Element x y z (fractional)
Ca1 0.000 0.000 0.000
Cr1 0.500 0.500 0.500
Sn1 0.500 0.500 0.000
Pb1 0.000 0.500 0.500
Pb2 0.500 0.000 0.500



Record 26
Density functional theory data (PBE) for an optimized crystal structure of Ca2CrTePb.

Properties
- uncorrected energy (eV/cell) = -20.944
- space-group type = P4/mmm, No. 123
- uncorrected formation energy (eV per atom) = -0.09

a = 5.826 Å, b = 5.826 Å, c = 5.147 Å
α = 90.00°, β = 90.00°, γ = 90.00°
Element x y z (fractional)
Ca1 0.000 0.500 0.000
Ca2 0.500 0.000 0.000
Cr1 0.000 0.000 0.500
Te1 0.000 0.000 0.000
Pb1 0.500 0.500 0.500



Record 27
Density functional theory data (PBE) for an optimized crystal structure of Ca2ZrCrPb.

Properties
- uncorrected energy (eV/cell) = -19.831
- space-group type = P4/mmm, No. 123

a = 5.799 Å, b = 5.799 Å, c = 5.011 Å
α = 90.00°, β = 90.00°, γ = 90.00°
Element x y z (fractional)
Ca1 0.000 0.500 0.000
Ca2 0.500 0.000 0.000
Zr1 0.000 0.000 0.500
Cr1 0.500 0.500 0.500
Pb1 0.500 0.500 0.000



Record 28
Density functional theory data (PBE) for an optimized crystal structure of CaCrPd2.

Properties
- uncorrected energy (eV/cell) = -80.246
- space-group type = I-42d, No. 122

a = 4.944 Å, b = 4.944 Å, c = 15.803 Å
α = 90.00°, β = 90.00°, γ = 90.00°
Element x y z (fractional)
Ca1 0.000 0.000 0.000
Ca2 0.000 0.500 0.250
Ca3 0.500 0.000 0.750
Ca4 0.500 0.500 0.500
Cr1 0.000 0.000 0.500
Cr2 0.000 0.500 0.750
Cr3 0.500 0.000 0.250
Cr4 0.500 0.500 0.000
Pd1 0.078 0.250 0.625
Pd2 0.250 0.578 0.875
Pd3 0.250 0.922 0.375
Pd4 0.422 0.250 0.125
Pd5 0.578 0.750 0.125
Pd6 0.750 0.078 0.375
Pd7 0.750 0.422 0.875
Pd8 0.922 0.750 0.625



Record 29
Density functional theory data (PBE) for an optimized crystal structure of Ca2CrPd2.

Properties
- uncorrected energy (eV/cell) = -48.153
- space-group type = P4/mbm, No. 127

a = 6.695 Å, b = 6.695 Å, c = 4.630 Å
α = 90.00°, β = 90.00°, γ = 90.00°
Element x y z (fractional)
Ca1 0.174 0.326 0.000
Ca2 0.326 0.826 0.000
Ca3 0.674 0.174 0.000
Ca4 0.826 0.674 0.000
Cr1 0.000 0.000 0.500
Cr2 0.500 0.500 0.500
Pd1 0.144 0.644 0.500
Pd2 0.356 0.144 0.500
Pd3 0.644 0.856 0.500
Pd4 0.856 0.356 0.500



Calculated V in order - 110.8; 275.6; 148.9; 488.6; 104.2; 189.7; 82.1; 299.2; 96.1; 283.6; 323.6; 173.0; 445.7; 333.0; 214.7; 86.5; 210.3; 367.3; 79.0; 214.7; 158.0; 183.8; 134.7; 148.3; 144.5; 174.7; 168.5; 386.2; 207.5 Å³/cell